[1]
{"formula": "CeMg5Tl6", "functional": "PBE", "state": "relaxed", "lattice": [[-2.871, -2.694, 3.256], [-5.135, -0.994, -5.351], [7.702, -4.879, -1.254]], "species": ["Tl", "Mg", "Mg", "Tl", "Mg", "Tl", "Ce", "Tl", "Tl", "Mg", "Mg", "Tl"], "fractional_positions": [[0.830, 0.088, 0.661], [0.334, 0.834, 0.668], [0.666, 0.166, 0.332], [0.170, 0.912, 0.339], [0.327, 0.327, 0.654], [0.500, 0.728, 0.000], [0.000, 0.000, 0.000], [0.170, 0.427, 0.339], [0.500, 0.272, 0.000], [0.673, 0.673, 0.346], [0.000, 0.500, 0.000], [0.830, 0.573, 0.661]], "crystal_system": "orthorhombic", "m_tot_mub_per_fu": 0.9, "mass_density_g_cm3": 8.07, "ef_mev_per_atom": -100, "sg": "Immm"}

---

[2]
{"formula": "Ce6MgTl5", "functional": "PBE", "state": "relaxed", "lattice": [[5.791, 0.358, -0.859], [-0.753, 6.380, -2.430], [1.221, -0.157, 8.912]], "species": ["Ce", "Tl", "Ce", "Tl", "Tl", "Ce", "Tl", "Ce", "Tl", "Mg", "Ce", "Ce"], "fractional_positions": [[0.500, 0.255, 0.000], [0.322, 0.333, 0.667], [0.500, 0.745, 0.000], [0.686, 0.161, 0.322], [0.314, 0.839, 0.678], [0.181, 0.419, 0.333], [0.678, 0.667, 0.333], [0.819, 0.086, 0.667], [0.000, 0.500, 0.000], [0.000, 0.000, 0.000], [0.819, 0.581, 0.667], [0.181, 0.914, 0.333]], "crystal_system": "monoclinic", "m_tot_mub_per_fu": 7.1, "mass_density_g_cm3": 9.35, "ef_mev_per_atom": -201, "sg": "C2/m"}

---

[3]
{"formula": "Ce4MgTl3", "functional": "PBE", "state": "relaxed", "lattice": [[4.583, 0.000, -1.237], [-0.327, 4.577, -1.213], [0.310, 0.278, 10.256]], "species": ["Ce", "Tl", "Ce", "Mg", "Tl", "Ce", "Ce", "Tl"], "fractional_positions": [[0.625, 0.625, 0.250], [0.750, 0.250, 0.501], [0.375, 0.375, 0.750], [0.500, 0.000, 0.000], [0.000, 0.500, 0.000], [0.125, 0.125, 0.250], [0.875, 0.875, 0.750], [0.250, 0.750, 0.499]], "crystal_system": "tetragonal", "m_tot_mub_per_fu": 3.6, "mass_density_g_cm3": 9.10, "ef_mev_per_atom": -176, "sg": "I4/mmm"}

---

[4]
{"formula": "CeMg12Tl6", "functional": "PBE", "state": "relaxed", "lattice": [[8.308, -0.064, -0.090], [-2.121, 8.032, -0.090], [-2.121, -2.732, 7.554]], "species": ["Mg", "Tl", "Mg", "Tl", "Ce", "Mg", "Tl", "Mg", "Tl", "Mg", "Tl", "Mg", "Mg", "Mg", "Mg", "Mg", "Tl", "Mg", "Mg"], "fractional_positions": [[0.399, 0.399, 0.156], [0.272, 0.731, 0.731], [0.111, 0.889, 0.500], [0.731, 0.272, 0.731], [0.000, 0.000, 0.000], [0.399, 0.156, 0.399], [0.728, 0.269, 0.269], [0.889, 0.111, 0.500], [0.269, 0.269, 0.728], [0.111, 0.500, 0.889], [0.731, 0.731, 0.272], [0.844, 0.601, 0.601], [0.601, 0.601, 0.844], [0.889, 0.500, 0.111], [0.156, 0.399, 0.399], [0.500, 0.889, 0.111], [0.269, 0.728, 0.269], [0.500, 0.111, 0.889], [0.601, 0.844, 0.601]], "crystal_system": "trigonal", "m_tot_mub_per_fu": 1.2, "mass_density_g_cm3": 5.52, "ef_mev_per_atom": 77, "sg": "R-3m"}

---

[5]
{"formula": "CeTmMgTl", "functional": "PBE", "state": "relaxed", "lattice": [[-0.947, 1.189, -5.164], [-2.485, -3.570, -3.172], [-5.033, 0.928, -1.669]], "species": ["Ce", "Mg", "Tl", "Tm"], "fractional_positions": [[0.000, 0.000, 0.000], [0.750, 0.750, 0.750], [0.250, 0.250, 0.250], [0.500, 0.500, 0.500]], "crystal_system": "cubic", "m_tot_mub_per_fu": 1.0, "mass_density_g_cm3": 8.10, "ef_mev_per_atom": -136, "sg": "F-43m"}

---

[6]
{"formula": "CeTmMg2Tl4", "functional": "PBE", "state": "relaxed", "lattice": [[-2.735, 3.838, 2.311], [-3.461, -1.150, 3.775], [4.237, 1.751, 8.067]], "species": ["Tm", "Mg", "Mg", "Tl", "Tl", "Tl", "Ce", "Tl"], "fractional_positions": [[0.500, 0.500, 0.500], [0.250, 0.250, 0.251], [0.750, 0.750, 0.749], [0.127, 0.127, 0.620], [0.621, 0.621, 0.136], [0.873, 0.873, 0.380], [0.000, 0.000, 0.000], [0.379, 0.379, 0.864]], "crystal_system": "trigonal", "m_tot_mub_per_fu": 1.1, "mass_density_g_cm3": 9.33, "ef_mev_per_atom": -196, "sg": "R-3m"}

---

[7]
{"formula": "CeTmMg2Tl2", "functional": "PBE", "state": "relaxed", "lattice": [[4.975, 0.000, 0.000], [-2.487, 4.308, 0.000], [0.000, 0.000, 7.267]], "species": ["Tl", "Tl", "Tm", "Ce", "Mg", "Mg"], "fractional_positions": [[0.667, 0.333, 0.750], [0.333, 0.667, 0.250], [0.000, 0.000, 0.500], [0.000, 0.000, 0.000], [0.667, 0.333, 0.270], [0.333, 0.667, 0.730]], "crystal_system": "trigonal", "m_tot_mub_per_fu": 0.9, "mass_density_g_cm3": 8.17, "ef_mev_per_atom": -221, "sg": "P-3m1"}

---

[8]
{"formula": "CeYMgTl", "functional": "PBE", "state": "relaxed", "lattice": [[5.419, 0.000, 0.000], [2.710, 4.693, 0.000], [2.710, 1.564, 4.425]], "species": ["Ce", "Y", "Mg", "Tl"], "fractional_positions": [[0.250, 0.250, 0.250], [0.750, 0.750, 0.750], [0.500, 0.500, 0.500], [0.000, 0.000, 0.000]], "crystal_system": "cubic", "m_tot_mub_per_fu": 1.1, "mass_density_g_cm3": 6.75, "ef_mev_per_atom": -165, "sg": "F-43m"}